# 1
Entry from Alexandria via LeMat-Bulk: a geometry-optimized NpTl2Cl4 structure (PBE). Values from VASP.

Output
- Total DFT energy (no corrections): -4.69 eV/atom
- Energy relative to the elements, uncorrected: -7.747 eV/f.u.
- Crystal system: tetragonal

The structure in Quantum ESPRESSO input format:
```
&SYSTEM
  ibrav = 0, nat = 7, ntyp = 3
/
ATOMIC_SPECIES
Np 237.00 Np.upf
Tl 204.38 Tl.upf
Cl 35.45 Cl.upf
CELL_PARAMETERS angstrom
-2.741 2.741 8.148
2.741 -2.741 8.148
2.741 2.741 -8.148
ATOMIC_POSITIONS crystal
Np 0.000 0.000 0.000
Tl 0.356 0.356 0.000
Tl 0.644 0.644 0.000
Cl 0.000 0.500 0.500
Cl 0.170 0.170 0.000
Cl 0.500 0.000 0.500
Cl 0.830 0.830 0.000
```



# 2
Entry from Alexandria via LeMat-Bulk: a geometry-optimized NpTlCl6 structure (PBE). Values from VASP.

Output
- Total DFT energy (no corrections): -4.68 eV/atom
- Energy relative to the elements, uncorrected: -11.065 eV/f.u.
- Crystal system: triclinic

The structure in Quantum ESPRESSO input format:
```
&SYSTEM
  ibrav = 0, nat = 8, ntyp = 3
/
ATOMIC_SPECIES
Np 237.00 Np.upf
Tl 204.38 Tl.upf
Cl 35.45 Cl.upf
CELL_PARAMETERS angstrom
7.071 0.000 0.000
3.530 6.134 0.000
3.525 2.045 6.531
ATOMIC_POSITIONS crystal
Np 0.000 0.000 0.000
Tl 0.500 0.500 0.500
Cl 0.035 0.384 0.777
Cl 0.196 0.965 0.224
Cl 0.384 0.805 0.777
Cl 0.616 0.195 0.223
Cl 0.804 0.035 0.776
Cl 0.965 0.616 0.223
```



# 3
Entry from Alexandria via LeMat-Bulk: a geometry-optimized NpTlVCl6 structure (PBE). Values from VASP.

Output
- Total DFT energy (no corrections): -5.33 eV/atom
- Energy relative to the elements, uncorrected: -12.423 eV/f.u.
- Crystal system: trigonal

The structure in Quantum ESPRESSO input format:
```
&SYSTEM
  ibrav = 0, nat = 18, ntyp = 4
/
ATOMIC_SPECIES
Np 237.00 Np.upf
Tl 204.38 Tl.upf
V 50.94 V.upf
Cl 35.45 Cl.upf
CELL_PARAMETERS angstrom
6.716 0.000 0.000
-3.358 5.816 0.000
0.000 0.000 14.531
ATOMIC_POSITIONS crystal
Np 0.333 0.667 0.250
Np 0.667 0.333 0.750
Tl 0.000 0.000 0.000
Tl 0.000 0.000 0.500
V 0.333 0.667 0.750
V 0.667 0.333 0.250
Cl 0.029 0.378 0.647
Cl 0.029 0.651 0.853
Cl 0.349 0.378 0.853
Cl 0.349 0.971 0.647
Cl 0.378 0.029 0.147
Cl 0.378 0.349 0.353
Cl 0.622 0.651 0.647
Cl 0.622 0.971 0.853
Cl 0.651 0.029 0.353
Cl 0.651 0.622 0.147
Cl 0.971 0.349 0.147
Cl 0.971 0.622 0.353
```



# 4
Entry from Alexandria via LeMat-Bulk: a geometry-optimized YNpTl2Cl8 structure (PBE). Values from VASP.

Output
- Total DFT energy (no corrections): -4.90 eV/atom
- Energy relative to the elements, uncorrected: -19.942 eV/f.u.
- Crystal system: triclinic

The structure in Quantum ESPRESSO input format:
```
&SYSTEM
  ibrav = 0, nat = 12, ntyp = 4
/
ATOMIC_SPECIES
Y 88.91 Y.upf
Np 237.00 Np.upf
Tl 204.38 Tl.upf
Cl 35.45 Cl.upf
CELL_PARAMETERS angstrom
6.837 0.000 0.000
-0.285 7.317 0.000
-0.052 -0.054 8.449
ATOMIC_POSITIONS crystal
Y 0.000 0.000 0.000
Np 0.000 0.000 0.500
Tl 0.499 0.499 0.755
Tl 0.501 0.501 0.245
Cl 0.213 0.869 0.757
Cl 0.215 0.872 0.244
Cl 0.216 0.300 0.000
Cl 0.225 0.307 0.496
Cl 0.775 0.693 0.504
Cl 0.784 0.700 0.000
Cl 0.785 0.128 0.756
Cl 0.787 0.131 0.243
```



# 5
Entry from Alexandria via LeMat-Bulk: a geometry-optimized NpUCl6 structure (PBE). Values from VASP.

Output
- Total DFT energy (no corrections): -6.09 eV/atom
- Energy relative to the elements, uncorrected: -13.426 eV/f.u.
- Energy above the lowest structure with this stoichiometry: 0 meV/atom
- Crystal system: triclinic

The structure in Quantum ESPRESSO input format:
```
&SYSTEM
  ibrav = 0, nat = 8, ntyp = 3
/
ATOMIC_SPECIES
Np 237.00 Np.upf
U 238.03 U.upf
Cl 35.45 Cl.upf
CELL_PARAMETERS angstrom
6.851 0.000 0.000
3.418 5.939 0.000
3.419 1.976 6.451
ATOMIC_POSITIONS crystal
Np 0.000 0.000 0.000
U 0.500 0.500 0.500
Cl 0.102 0.401 0.747
Cl 0.250 0.897 0.254
Cl 0.401 0.750 0.747
Cl 0.599 0.250 0.253
Cl 0.750 0.103 0.746
Cl 0.898 0.599 0.253
```



# 6
Entry from Alexandria via LeMat-Bulk: a geometry-optimized NpUCl6 structure (PBE). Values from VASP.

Output
- Total DFT energy (no corrections): -6.06 eV/atom
- Energy relative to the elements, uncorrected: -13.200 eV/f.u.
- Energy above the lowest structure with this stoichiometry: 28 meV/atom
- Crystal system: monoclinic

The structure in Quantum ESPRESSO input format:
```
&SYSTEM
  ibrav = 0, nat = 8, ntyp = 3
/
ATOMIC_SPECIES
Np 237.00 Np.upf
U 238.03 U.upf
Cl 35.45 Cl.upf
CELL_PARAMETERS angstrom
6.973 -2.453 0.000
6.973 2.453 0.000
-5.175 0.000 6.738
ATOMIC_POSITIONS crystal
Np 0.000 0.000 0.000
U 0.500 0.500 0.500
Cl 0.065 0.065 0.730
Cl 0.252 0.252 0.252
Cl 0.437 0.437 0.769
Cl 0.563 0.563 0.231
Cl 0.748 0.748 0.748
Cl 0.935 0.935 0.270
```



# 7
Entry from Alexandria via LeMat-Bulk: a geometry-optimized NpVCl2 structure (PBE). Values from VASP.

Output
- Total DFT energy (no corrections): -6.78 eV/atom
- Energy relative to the elements, uncorrected: -1.352 eV/f.u.
- Crystal system: trigonal

The structure in Quantum ESPRESSO input format:
```
&SYSTEM
  ibrav = 0, nat = 4, ntyp = 3
/
ATOMIC_SPECIES
Np 237.00 Np.upf
V 50.94 V.upf
Cl 35.45 Cl.upf
CELL_PARAMETERS angstrom
1.521 0.878 9.052
-1.521 0.878 9.052
0.000 -1.756 9.052
ATOMIC_POSITIONS crystal
Np 0.000 0.000 0.000
V 0.500 0.500 0.500
Cl 0.106 0.106 0.106
Cl 0.894 0.894 0.894
```



# 8
Entry from Alexandria via LeMat-Bulk: a geometry-optimized NpVCl6 structure (PBE). Values from VASP.

Output
- Total DFT energy (no corrections): -5.61 eV/atom
- Energy relative to the elements, uncorrected: -11.757 eV/f.u.
- Crystal system: monoclinic

The structure in Quantum ESPRESSO input format:
```
&SYSTEM
  ibrav = 0, nat = 8, ntyp = 3
/
ATOMIC_SPECIES
Np 237.00 Np.upf
V 50.94 V.upf
Cl 35.45 Cl.upf
CELL_PARAMETERS angstrom
3.160 -6.229 0.000
3.160 6.229 0.000
-1.866 0.000 6.016
ATOMIC_POSITIONS crystal
Np 0.000 0.000 0.000
V 0.500 0.500 0.500
Cl 0.134 0.412 0.270
Cl 0.262 0.262 0.741
Cl 0.412 0.134 0.270
Cl 0.588 0.866 0.730
Cl 0.738 0.738 0.259
Cl 0.866 0.588 0.730
```



# 9
Entry from Alexandria via LeMat-Bulk: a geometry-optimized Np2VCl8 structure (PBE). Values from VASP.

Output
- Total DFT energy (no corrections): -6.08 eV/atom
- Energy relative to the elements, uncorrected: -17.153 eV/f.u.
- Crystal system: monoclinic

The structure in Quantum ESPRESSO input format:
```
&SYSTEM
  ibrav = 0, nat = 11, ntyp = 3
/
ATOMIC_SPECIES
Np 237.00 Np.upf
V 50.94 V.upf
Cl 35.45 Cl.upf
CELL_PARAMETERS angstrom
10.435 -1.921 0.000
10.435 1.921 0.000
-1.672 0.000 7.859
ATOMIC_POSITIONS crystal
Np 0.152 0.152 0.336
Np 0.848 0.848 0.664
V 0.500 0.500 0.000
Cl 0.008 0.008 0.204
Cl 0.246 0.246 0.669
Cl 0.380 0.380 0.939
Cl 0.393 0.393 0.480
Cl 0.607 0.607 0.520
Cl 0.620 0.620 0.061
Cl 0.754 0.754 0.331
Cl 0.992 0.992 0.796
```



# 10
Entry from Alexandria via LeMat-Bulk: a geometry-optimized NpVCl structure (PBE). Values from VASP.

Output
- Total DFT energy (no corrections): -8.02 eV/atom
- Energy relative to the elements, uncorrected: -0.142 eV/f.u.
- Crystal system: monoclinic

The structure in Quantum ESPRESSO input format:
```
&SYSTEM
  ibrav = 0, nat = 6, ntyp = 3
/
ATOMIC_SPECIES
Np 237.00 Np.upf
V 50.94 V.upf
Cl 35.45 Cl.upf
CELL_PARAMETERS angstrom
3.086 0.000 0.000
0.000 6.489 0.000
-0.764 0.000 5.871
ATOMIC_POSITIONS crystal
Np 0.212 0.000 0.486
Np 0.788 0.500 0.514
V 0.448 0.739 0.275
V 0.552 0.239 0.725
Cl 0.351 0.731 0.858
Cl 0.649 0.231 0.142
```



# 11
Entry from Alexandria via LeMat-Bulk: a geometry-optimized NpVCl5 structure (PBE). Values from VASP.

Output
- Total DFT energy (no corrections): -5.84 eV/atom
- Energy relative to the elements, uncorrected: -9.584 eV/f.u.
- Crystal system: monoclinic

The structure in Quantum ESPRESSO input format:
```
&SYSTEM
  ibrav = 0, nat = 14, ntyp = 3
/
ATOMIC_SPECIES
Np 237.00 Np.upf
V 50.94 V.upf
Cl 35.45 Cl.upf
CELL_PARAMETERS angstrom
4.597 -4.802 0.000
4.597 4.802 0.000
-3.626 0.000 8.573
ATOMIC_POSITIONS crystal
Np 0.066 0.934 0.750
Np 0.934 0.066 0.250
V 0.000 0.500 0.000
V 0.500 0.000 0.500
Cl 0.204 0.210 0.053
Cl 0.210 0.204 0.553
Cl 0.224 0.617 0.870
Cl 0.225 0.775 0.250
Cl 0.383 0.776 0.630
Cl 0.617 0.224 0.370
Cl 0.775 0.225 0.750
Cl 0.776 0.383 0.130
Cl 0.790 0.796 0.447
Cl 0.796 0.790 0.947
```



# 12
Entry from Alexandria via LeMat-Bulk: a geometry-optimized YNpCl6 structure (PBE). Values from VASP.

Output
- Total DFT energy (no corrections): -5.78 eV/atom
- Energy relative to the elements, uncorrected: -15.761 eV/f.u.
- Crystal system: monoclinic

The structure in Quantum ESPRESSO input format:
```
&SYSTEM
  ibrav = 0, nat = 8, ntyp = 3
/
ATOMIC_SPECIES
Y 88.91 Y.upf
Np 237.00 Np.upf
Cl 35.45 Cl.upf
CELL_PARAMETERS angstrom
3.410 -6.186 0.000
3.410 6.186 0.000
-1.831 0.000 6.451
ATOMIC_POSITIONS crystal
Y 0.000 0.000 0.000
Np 0.500 0.500 0.500
Cl 0.098 0.386 0.244
Cl 0.245 0.245 0.752
Cl 0.386 0.098 0.244
Cl 0.614 0.902 0.756
Cl 0.755 0.755 0.248
Cl 0.902 0.614 0.756
```



Q: The lowest total DFT energy (no corrections) belongs to which entry?
A: NpVCl



Q: What is the total DFT energy (no corrections) in the seventh record?
A: -6.78 eV/atom